No. 1
An optimized crystal structure of BIrS2, computed with PBE.

Cell lengths 2.9782, 2.9782, 20.6075 Å; angles 90.00, 90.00, 120.00 degrees
Space group R-3m (No. 166, hexagonal axes)
Unique sites:
B (0.0000, 0.0000, 0.0000) [3 per cell]
Ir (0.0000, 0.0000, 0.5000) [3 per cell]
S (0.0000, 0.0000, 0.3909) [6 per cell]

Output
For the calculated density, the calculation gives 8.4 g cm⁻³. Its formation energy from raw total energies is 0.261 eV per atom. The final energy comes out at -68.2 eV per cell. As for the spin magnetization: 0.2 μB/f.u.

***

No. 2
An optimized crystal structure of B2IrS, computed with PBE.

Cell lengths 4.7846, 4.7846, 8.7588 Å; angles 90.00, 90.00, 90.00 degrees
Space group I-42d (No. 122)
Unique sites:
B (0.2324, 0.2500, 0.1250) [8 per cell]
Ir (0.0000, 0.0000, 0.5000) [4 per cell]
S (0.0000, 0.0000, 0.0000) [4 per cell]

Output
For the calculated density, the calculation gives 8.1 g cm⁻³. Its formation energy from raw total energies is 0.154 eV per atom. The final energy comes out at -102.9 eV per cell. As for the spin magnetization: 0.0 μB/f.u.

***

No. 3
An optimized crystal structure of BIrS2, computed with PBE.

Cell lengths 3.6488, 3.6488, 17.4605 Å; angles 90.00, 90.00, 120.00 degrees
Space group R-3m (No. 166, hexagonal axes)
Unique sites:
B (0.0000, 0.0000, 0.0000) [3 per cell]
Ir (0.0000, 0.0000, 0.5000) [3 per cell]
S (0.0000, 0.0000, 0.0979) [6 per cell]

Output
For the calculated density, the calculation gives 6.6 g cm⁻³. Its formation energy from raw total energies is 0.287 eV per atom. The final energy comes out at -67.9 eV per cell. As for the spin magnetization: 0.0 μB/f.u.

***

No. 4
An optimized crystal structure of B3IrS, computed with PBE.

Cell lengths 3.7799, 3.7799, 3.7799 Å; angles 90.00, 90.00, 90.00 degrees
Space group Pm-3m (No. 221)
Unique sites:
B (0.0000, 0.0000, 0.5000) [3 per cell]
Ir (0.5000, 0.5000, 0.5000) [1 per cell]
S (0.0000, 0.0000, 0.0000) [1 per cell]

Output
The energy above the most stable polymorph in this dataset comes out at 569 meV per atom. For the calculated density, the calculation gives 7.9 g cm⁻³. Its formation energy from raw total energies is 1.729 eV per atom. The final energy comes out at -24.4 eV per cell. As for the spin magnetization: 0.0 μB/f.u.

***

No. 5
An optimized crystal structure of B2IrS, computed with PBE.

Cell lengths 2.9005, 2.9005, 19.4567 Å; angles 90.00, 90.00, 120.00 degrees
Space group R-3m (No. 166, hexagonal axes)
Unique sites:
B (0.0000, 0.0000, 0.0934) [6 per cell]
Ir (0.0000, 0.0000, 0.5000) [3 per cell]
S (0.0000, 0.0000, 0.0000) [3 per cell]

Output
For the calculated density, the calculation gives 8.6 g cm⁻³. Its formation energy from raw total energies is 0.374 eV per atom. The final energy comes out at -74.5 eV per cell. As for the spin magnetization: 0.0 μB/f.u.

***

No. 6
An optimized crystal structure of BIrS2, computed with PBE.

Cell lengths 5.1321, 5.1321, 8.6958 Å; angles 90.00, 90.00, 90.00 degrees
Space group I-42d (No. 122)
Unique sites:
B (0.0000, 0.0000, 0.0000) [4 per cell]
Ir (0.0000, 0.0000, 0.5000) [4 per cell]
S (0.1937, 0.2500, 0.1250) [8 per cell]

Output
For the calculated density, the calculation gives 7.7 g cm⁻³. Its formation energy from raw total energies is 0.078 eV per atom. The final energy comes out at -93.9 eV per cell. As for the spin magnetization: 0.0 μB/f.u.

***

No. 7
An optimized crystal structure of BSb2Ir, computed with PBE.

Cell lengths 5.8016, 5.8016, 10.2954 Å; angles 90.00, 90.00, 90.00 degrees
Space group I-42d (No. 122)
Unique sites:
B (0.0000, 0.0000, 0.0000) [4 per cell]
Sb (0.2080, 0.2500, 0.1250) [8 per cell]
Ir (0.0000, 0.0000, 0.5000) [4 per cell]

Output
For the calculated density, the calculation gives 8.6 g cm⁻³. Its formation energy from raw total energies is 0.395 eV per atom. The final energy comes out at -88.8 eV per cell. As for the spin magnetization: 0.0 μB/f.u.

***

No. 8
An optimized crystal structure of B3SbIr, computed with PBE.

Cell lengths 4.3503, 4.3503, 4.3503 Å; angles 90.00, 90.00, 90.00 degrees
Space group Pm-3m (No. 221)
Unique sites:
B (0.0000, 0.0000, 0.5000) [3 per cell]
Sb (0.0000, 0.0000, 0.0000) [1 per cell]
Ir (0.5000, 0.5000, 0.5000) [1 per cell]

Output
The energy above the most stable polymorph in this dataset comes out at 1487 meV per atom. For the calculated density, the calculation gives 7.0 g cm⁻³. Its formation energy from raw total energies is 2.606 eV per atom. The final energy comes out at -20.0 eV per cell. As for the spin magnetization: 0.0 μB/f.u.

***

No. 9
An optimized crystal structure of B2SbIr, computed with PBE.

Cell lengths 5.0170, 5.0170, 10.1902 Å; angles 90.00, 90.00, 90.00 degrees
Space group I-42d (No. 122)
Unique sites:
B (0.2010, 0.2500, 0.1250) [8 per cell]
Sb (0.0000, 0.0000, 0.5000) [4 per cell]
Ir (0.0000, 0.0000, 0.0000) [4 per cell]

Output
For the calculated density, the calculation gives 8.7 g cm⁻³. Its formation energy from raw total energies is 0.351 eV per atom. The final energy comes out at -99.7 eV per cell. As for the spin magnetization: 0.0 μB/f.u.

***

No. 10
An optimized crystal structure of B3SbIr, computed with PBE.

Cell lengths 4.1991, 4.1991, 4.1991 Å; angles 90.00, 90.00, 90.00 degrees
Space group Pm-3m (No. 221)
Unique sites:
B (0.0000, 0.0000, 0.5000) [3 per cell]
Sb (0.5000, 0.5000, 0.5000) [1 per cell]
Ir (0.0000, 0.0000, 0.0000) [1 per cell]

Output
The energy above the most stable polymorph in this dataset comes out at 0 meV per atom. For the calculated density, the calculation gives 7.8 g cm⁻³. Its formation energy from raw total energies is 1.119 eV per atom. The final energy comes out at -27.4 eV per cell. As for the spin magnetization: 0.0 μB/f.u.

***

No. 11
An optimized crystal structure of Sr2BSbIr, computed with PBE.

Cell lengths 6.1232, 6.1232, 4.2876 Å; angles 90.00, 90.00, 90.00 degrees
Space group P4/mmm (No. 123)
Unique sites:
Sr (0.0000, 0.5000, 0.0000) [2 per cell]
B (0.0000, 0.0000, 0.5000) [1 per cell]
Sb (0.0000, 0.0000, 0.0000) [1 per cell]
Ir (0.5000, 0.5000, 0.5000) [1 per cell]

Output
For the calculated density, the calculation gives 5.2 g cm⁻³. Its formation energy from raw total energies is 0.929 eV per atom. The final energy comes out at -18.4 eV per cell. As for the spin magnetization: 0.4 μB/f.u.

***

No. 12
An optimized crystal structure of BSbTe2Ir, computed with PBE.

Cell lengths 5.4375, 5.4375, 4.9484 Å; angles 90.00, 90.00, 90.00 degrees
Space group P4/mmm (No. 123)
Unique sites:
B (0.0000, 0.0000, 0.0000) [1 per cell]
Sb (0.5000, 0.5000, 0.0000) [1 per cell]
Te (0.0000, 0.5000, 0.5000) [2 per cell]
Ir (0.5000, 0.5000, 0.5000) [1 per cell]

Output
The energy above the most stable polymorph in this dataset comes out at 308 meV per atom. For the calculated density, the calculation gives 6.6 g cm⁻³. Its formation energy from raw total energies is 1.345 eV per atom. The final energy comes out at -19.2 eV per cell. As for the spin magnetization: 0.0 μB/f.u.